Ta5H4: optimized geometry, GGA-PBE.

Cell and atoms, written as extended XYZ:
```
9
Lattice="3.589 0.146 -4.395 -0.515 0.817 5.593 -0.254 -5.663 0.276" Properties=species:S:1:pos:R:3 pbc="T T T"
H 3.390 -1.065 -2.912
H 0.838 -1.395 -1.027
H 1.982 -3.305 2.502
H -0.570 -3.635 4.387
Ta 0.000 0.000 0.000
Ta 0.975 -0.417 2.763
Ta 2.457 -1.650 -0.047
Ta 0.363 -3.050 1.522
Ta 1.845 -4.283 -1.289
```

Output
The density comes out at 15.0 g/cm3. The calculation puts the total energy at -8.24 eV per atom. Its volume is 100.6 Å³ per cell. The symmetry is No. 87.

=====

PmHg2Br2: optimized geometry, GGA-PBE.

Cell and atoms, written as extended XYZ:
```
5
Lattice="0.794 -7.607 0.137 -2.834 -6.638 -2.521 2.420 -1.210 -3.721" Properties=species:S:1:pos:R:3 pbc="T T T"
Br 0.095 -3.864 -1.526
Br 0.285 -11.591 -4.579
Hg -1.560 -12.842 -2.528
Hg 1.940 -2.613 -3.577
Pm 0.190 -7.727 -3.053
```

Output
The density comes out at 8.0 g/cm3. The calculation puts the total energy at -1.82 eV per atom. Its volume is 146.5 Å³ per cell. The symmetry is No. 69.

=====

ErCo2SiB: optimized geometry, GGA-PBE.

Cell and atoms, written as extended XYZ:
```
5
Lattice="-1.859 1.859 4.613 1.859 -1.859 4.613 1.859 1.859 -4.613" Properties=species:S:1:pos:R:3 pbc="T T T"
B 0.000 0.000 5.846
Co 0.000 1.859 2.213
Co 1.859 0.000 2.213
Er 0.000 0.000 0.073
Si 0.000 0.000 3.494
```

Output
The density comes out at 8.4 g/cm3. The calculation puts the total energy at -6.83 eV per atom. Its volume is 63.8 Å³ per cell. The symmetry is No. 107.

=====

SbIrPd2: optimized geometry, GGA-PBE.

Cell and atoms, written as extended XYZ:
```
4
Lattice="2.196 -3.941 0.276 2.486 -0.951 3.654 -1.388 -3.162 2.917" Properties=species:S:1:pos:R:3 pbc="T T T"
Ir 0.823 -2.014 1.712
Pd 0.000 0.000 0.000
Pd 2.470 -6.041 5.135
Sb 1.647 -4.027 3.423
```

Output
The density comes out at 13.4 g/cm3. The calculation puts the total energy at -5.96 eV per atom. Its volume is 65.3 Å³ per cell. The symmetry is No. 216.

=====

AcDy2O4: optimized geometry, GGA-PBE.

Cell and atoms, written as extended XYZ:
```
14
Lattice="4.939 -4.940 0.000 -4.939 0.000 -4.940 4.939 4.940 0.000" Properties=species:S:1:pos:R:3 pbc="T T T"
Ac 0.000 0.000 0.000
Ac 2.469 -2.470 -2.470
Dy -1.235 -1.235 -3.705
Dy 3.704 1.235 -1.235
Dy 1.235 1.235 -3.705
Dy 6.173 -1.235 -1.235
O -1.068 1.068 -3.872
O 3.871 -1.068 -1.068
O 1.068 -1.068 -3.872
O 1.401 1.402 -1.402
O 6.007 1.068 -1.068
O 1.401 3.538 -3.538
O 3.537 3.538 -1.402
O 3.537 1.402 -3.538
```

Output
The density comes out at 8.5 g/cm3. The calculation puts the total energy at -7.98 eV per atom. Its volume is 241.0 Å³ per cell. The symmetry is No. 227.

=====

Sr2NiP2Pd: optimized geometry, GGA-PBE.

Cell and atoms, written as extended XYZ:
```
6
Lattice="4.062 0.000 0.000 -2.031 3.518 0.000 0.000 0.000 9.014" Properties=species:S:1:pos:R:3 pbc="T T T"
Ni 0.000 2.345 4.507
P 0.000 2.345 0.000
P 2.031 1.173 4.507
Pd 2.031 1.173 0.000
Sr 0.000 0.000 2.304
Sr 0.000 0.000 6.709
```

Output
The density comes out at 5.2 g/cm3. The calculation puts the total energy at -5.07 eV per atom. Its volume is 128.8 Å³ per cell. The symmetry is No. 187.

=====

PmH3: optimized geometry, GGA-PBE.

Cell and atoms, written as extended XYZ:
```
4
Lattice="-1.795 1.795 2.904 1.795 -1.795 2.904 1.795 1.795 -2.904" Properties=species:S:1:pos:R:3 pbc="T T T"
H 0.000 0.000 2.904
H 0.000 1.795 1.452
H 1.795 0.000 1.452
Pm 0.000 0.000 0.000
```

Output
The density comes out at 6.6 g/cm3. The calculation puts the total energy at -4.24 eV per atom. Its volume is 37.4 Å³ per cell. The symmetry is No. 139.

=====

SrHf2Au: optimized geometry, GGA-PBE.

Cell and atoms, written as extended XYZ:
```
4
Lattice="0.000 3.637 3.637 3.637 0.000 3.637 3.637 3.637 0.000" Properties=species:S:1:pos:R:3 pbc="T T T"
Au 3.637 3.637 3.637
Hf 0.000 0.000 0.000
Hf 1.818 1.818 1.818
Sr 5.455 5.455 5.455
```

Output
The density comes out at 11.1 g/cm3. The calculation puts the total energy at -5.86 eV per atom. Its volume is 96.2 Å³ per cell. The symmetry is No. 216.

=====

Ni2P: optimized geometry, GGA-PBE.

Cell and atoms, written as extended XYZ:
```
6
Lattice="3.397 1.961 5.547 -3.397 1.961 5.547 0.000 -3.923 5.547" Properties=species:S:1:pos:R:3 pbc="T T T"
Ni 0.000 0.000 6.241
Ni 1.699 0.981 9.015
Ni -1.699 0.981 9.015
Ni 0.000 -1.961 9.015
P 0.000 0.000 4.161
P 0.000 0.000 8.321
```

Output
The density comes out at 2.2 g/cm3. The calculation puts the total energy at -4.53 eV per atom. Its volume is 221.8 Å³ per cell. The symmetry is No. 227.

=====

Re2NiOs: optimized geometry, GGA-PBE.

Cell and atoms, written as extended XYZ:
```
4
Lattice="2.143 1.238 3.500 -2.143 1.238 3.500 0.000 -2.475 3.500" Properties=species:S:1:pos:R:3 pbc="T T T"
Ni 0.000 0.000 5.250
Os 0.000 0.000 2.625
Re 0.000 0.000 0.000
Re 0.000 0.000 7.876
```

Output
As for the energy of formation from the pure elements: 0.262 eV/atom. The density comes out at 18.5 g/cm3. Its volume is 55.7 Å³ per cell. The symmetry is No. 216.

=====

Ho3Ni13B2: optimized geometry, GGA-PBE.

Cell and atoms, written as extended XYZ:
```
18
Lattice="-1.595 -2.590 3.884 1.158 -2.314 -4.200 10.293 -1.141 3.467" Properties=species:S:1:pos:R:3 pbc="T T T"
B 10.533 -3.547 1.962
B 9.615 -3.639 4.656
Ho 10.293 -1.141 3.467
Ho 2.936 -5.278 0.820
Ho 6.920 -0.767 2.331
Ni 1.154 -2.604 0.304
Ni 0.575 -1.447 2.404
Ni 1.952 -1.309 -1.637
Ni 2.605 -2.862 2.295
Ni 3.523 -2.770 -0.400
Ni 4.349 -1.866 3.676
Ni 5.726 -1.728 -0.366
Ni 4.928 -3.023 1.576
Ni 6.334 -3.275 3.551
Ni 7.251 -3.184 0.856
Ni 8.122 -2.284 4.947
Ni 9.499 -2.146 0.905
Ni 8.701 -3.441 2.847
```

Output
The density comes out at 9.2 g/cm3. The calculation puts the total energy at -5.97 eV per atom. Its volume is 230.2 Å³ per cell. The symmetry is No. 191.

=====

LiTl2H6Pd: optimized geometry, GGA-PBE.

Cell and atoms, written as extended XYZ:
```
10
Lattice="5.318 -0.597 1.716 1.207 -3.465 4.257 2.746 -4.804 -0.979" Properties=species:S:1:pos:R:3 pbc="T T T"
H 4.930 -2.774 2.160
H 3.153 -4.014 3.258
H 5.452 -4.272 4.000
H 3.819 -4.593 0.994
H 6.117 -4.851 1.736
H 4.340 -6.091 2.834
Li 0.000 0.000 0.000
Pd 4.635 -4.433 2.497
Tl 2.318 -2.216 1.248
Tl 6.953 -6.649 3.745
```

Output
The density comes out at 7.0 g/cm3. The calculation puts the total energy at -3.07 eV per atom. Its volume is 125.5 Å³ per cell. The symmetry is No. 225.

=====

Question: volume of number 9 (Ni2P)?
Answer: 221.8 Å³ per cell

=====

Repeat the sixth record exactly.
Sr2NiP2Pd: optimized geometry, GGA-PBE.

Cell and atoms, written as extended XYZ:
```
6
Lattice="4.062 0.000 0.000 -2.031 3.518 0.000 0.000 0.000 9.014" Properties=species:S:1:pos:R:3 pbc="T T T"
Ni 0.000 2.345 4.507
P 0.000 2.345 0.000
P 2.031 1.173 4.507
Pd 2.031 1.173 0.000
Sr 0.000 0.000 2.304
Sr 0.000 0.000 6.709
```

Output
The density comes out at 5.2 g/cm3. The calculation puts the total energy at -5.07 eV per atom. Its volume is 128.8 Å³ per cell. The symmetry is No. 187.